Record 1
This record from the Alexandria database describes an optimized crystal structure of Al2ReCl. The functional is PBE. Values from VASP.

Output
- Distance to the lowest polymorph of the same formula: 1.011 eV/atom
- Total magnetic moment: 0.00 μB per formula unit
- Calculated volume: 16.30 A^3/atom
- Space group: No. 225

Quantum ESPRESSO input file:
```
&SYSTEM
  ibrav = 0, nat = 4, ntyp = 3
/
ATOMIC_SPECIES
Al 26.98 Al.upf
Re 186.21 Re.upf
Cl 35.45 Cl.upf
ATOMIC_POSITIONS crystal
Al 0.750 0.750 0.750
Al 0.250 0.250 0.250
Re 0.500 0.500 0.500
Cl 0.000 0.000 0.000
CELL_PARAMETERS angstrom
3.340 2.636 1.517
-0.964 3.817 2.217
0.803 0.301 4.436
```

=====

Record 2
This record from the Alexandria database describes an optimized crystal structure of AlReCl2. The functional is PBE. Values from VASP.

Output
- Distance to the lowest polymorph of the same formula: 0.864 eV/atom
- Total magnetic moment: 0.00 μB per formula unit
- Calculated volume: 17.38 A^3/atom
- Space group: No. 122

Quantum ESPRESSO input file:
```
&SYSTEM
  ibrav = 0, nat = 8, ntyp = 3
/
ATOMIC_SPECIES
Al 26.98 Al.upf
Cl 35.45 Cl.upf
Re 186.21 Re.upf
ATOMIC_POSITIONS crystal
Al 0.250 0.750 0.500
Al 0.500 0.500 0.000
Cl 0.110 0.625 0.250
Cl 0.875 0.890 0.750
Cl 0.640 0.125 0.250
Cl 0.375 0.360 0.750
Re 0.000 0.000 0.000
Re 0.750 0.250 0.500
CELL_PARAMETERS angstrom
-0.923 -2.663 -2.994
3.853 -1.433 0.087
-0.733 -7.618 4.179
```

=====

Record 3
This record from the Alexandria database describes an optimized crystal structure of AlReCl2. The functional is PBE. Values from VASP.

Output
- Distance to the lowest polymorph of the same formula: 0.431 eV/atom
- Total magnetic moment: 1.70 μB per formula unit
- Calculated volume: 27.86 A^3/atom
- Space group: No. 44

Quantum ESPRESSO input file:
```
&SYSTEM
  ibrav = 0, nat = 4, ntyp = 3
/
ATOMIC_SPECIES
Re 186.21 Re.upf
Cl 35.45 Cl.upf
Al 26.98 Al.upf
ATOMIC_POSITIONS crystal
Re 0.516 0.516 0.000
Cl 0.323 0.823 0.500
Cl 0.926 0.926 0.000
Al 0.735 0.235 0.500
CELL_PARAMETERS angstrom
6.364 0.206 -0.087
0.527 6.345 0.087
-1.196 -5.641 2.701
```

=====

Record 4
This record from the Alexandria database describes an optimized crystal structure of AlReCl. The functional is PBE. Values from VASP.

Output
- Distance to the lowest polymorph of the same formula: 0.595 eV/atom
- Total magnetic moment: 0.00 μB per formula unit
- Calculated volume: 15.93 A^3/atom
- Space group: No. 44

Quantum ESPRESSO input file:
```
&SYSTEM
  ibrav = 0, nat = 3, ntyp = 3
/
ATOMIC_SPECIES
Al 26.98 Al.upf
Cl 35.45 Cl.upf
Re 186.21 Re.upf
ATOMIC_POSITIONS crystal
Al 0.012 0.012 0.000
Cl 0.310 0.310 0.000
Re 0.678 0.678 0.000
CELL_PARAMETERS angstrom
4.953 -0.014 0.004
2.560 4.240 -0.004
-3.322 -2.887 2.274
```

=====

Record 5
This record from the Alexandria database describes an optimized crystal structure of AlReCl2. The functional is PBE. Values from VASP.

Output
- Distance to the lowest polymorph of the same formula: 0.639 eV/atom
- Total magnetic moment: 0.00 μB per formula unit
- Calculated volume: 18.66 A^3/atom
- Space group: No. 65

Quantum ESPRESSO input file:
```
&SYSTEM
  ibrav = 0, nat = 4, ntyp = 3
/
ATOMIC_SPECIES
Cl 35.45 Cl.upf
Re 186.21 Re.upf
Al 26.98 Al.upf
ATOMIC_POSITIONS crystal
Cl 0.000 0.000 0.459
Cl 0.000 0.000 0.041
Re 0.500 0.500 0.250
Al 0.500 0.500 0.750
CELL_PARAMETERS angstrom
-2.750 -1.391 -0.481
2.767 -1.346 -0.514
0.079 -3.175 8.733
```

=====

Record 6
This record from the Alexandria database describes an optimized crystal structure of AlReCl2. The functional is PBE. Values from VASP.

Output
- Distance to the lowest polymorph of the same formula: 0.000 eV/atom
- Total magnetic moment: 0.00 μB per formula unit
- Calculated volume: 19.25 A^3/atom
- Space group: No. 160

Quantum ESPRESSO input file:
```
&SYSTEM
  ibrav = 0, nat = 4, ntyp = 3
/
ATOMIC_SPECIES
Cl 35.45 Cl.upf
Re 186.21 Re.upf
Al 26.98 Al.upf
ATOMIC_POSITIONS crystal
Cl 0.028 0.028 0.028
Cl 0.222 0.222 0.222
Re 0.493 0.493 0.493
Al 0.756 0.756 0.756
CELL_PARAMETERS angstrom
-0.657 2.414 -8.903
1.643 0.299 -9.096
-1.346 -0.633 -9.127
```

=====

Record 7
This record from the Alexandria database describes an optimized crystal structure of AlReCl2. The functional is PBE. Values from VASP.

Output
- Distance to the lowest polymorph of the same formula: 0.147 eV/atom
- Total magnetic moment: 0.00 μB per formula unit
- Calculated volume: 21.42 A^3/atom
- Space group: No. 25

Quantum ESPRESSO input file:
```
&SYSTEM
  ibrav = 0, nat = 4, ntyp = 3
/
ATOMIC_SPECIES
Re 186.21 Re.upf
Cl 35.45 Cl.upf
Al 26.98 Al.upf
ATOMIC_POSITIONS crystal
Re 0.000 0.000 0.709
Cl 0.000 0.000 0.942
Cl 0.500 0.500 0.313
Al 0.500 0.500 0.536
CELL_PARAMETERS angstrom
-2.852 0.196 0.896
-0.073 -2.988 0.419
2.891 1.184 8.945
```

=====

Record 8
This record from the Alexandria database describes an optimized crystal structure of AlReCl2. The functional is PBE. Values from VASP.

Output
- Distance to the lowest polymorph of the same formula: 0.728 eV/atom
- Total magnetic moment: 0.45 μB per formula unit
- Calculated volume: 16.93 A^3/atom
- Space group: No. 10

Quantum ESPRESSO input file:
```
&SYSTEM
  ibrav = 0, nat = 4, ntyp = 3
/
ATOMIC_SPECIES
Cl 35.45 Cl.upf
Al 26.98 Al.upf
Re 186.21 Re.upf
ATOMIC_POSITIONS crystal
Cl 0.000 0.044 0.014
Cl 0.000 0.456 0.486
Al 0.500 0.750 0.750
Re 0.500 0.250 0.250
CELL_PARAMETERS angstrom
-3.827 1.808 0.287
-0.766 -2.024 2.527
1.732 3.165 3.163
```

=====

Record 9
This record from the Alexandria database describes an optimized crystal structure of Al2ReCl. The functional is PBE. Values from VASP.

Output
- Distance to the lowest polymorph of the same formula: 0.128 eV/atom
- Total magnetic moment: 0.00 μB per formula unit
- Calculated volume: 16.19 A^3/atom
- Space group: No. 166

Quantum ESPRESSO input file:
```
&SYSTEM
  ibrav = 0, nat = 4, ntyp = 3
/
ATOMIC_SPECIES
Al 26.98 Al.upf
Cl 35.45 Cl.upf
Re 186.21 Re.upf
ATOMIC_POSITIONS crystal
Al 0.495 0.495 0.495
Al 0.005 0.005 0.005
Cl 0.250 0.250 0.250
Re 0.750 0.750 0.750
CELL_PARAMETERS angstrom
-0.311 5.971 -5.522
-2.907 4.462 -6.155
-2.854 6.547 -3.904
```

=====

Record 10
This record from the Alexandria database describes an optimized crystal structure of Al2ReCl. The functional is PBE. Values from VASP.

Output
- Distance to the lowest polymorph of the same formula: 0.849 eV/atom
- Total magnetic moment: 0.00 μB per formula unit
- Calculated volume: 16.07 A^3/atom
- Space group: No. 47

Quantum ESPRESSO input file:
```
&SYSTEM
  ibrav = 0, nat = 4, ntyp = 3
/
ATOMIC_SPECIES
Al 26.98 Al.upf
Re 186.21 Re.upf
Cl 35.45 Cl.upf
ATOMIC_POSITIONS crystal
Al 0.500 0.500 0.000
Al 0.000 0.000 0.000
Re 0.000 0.500 0.500
Cl 0.500 0.000 0.500
CELL_PARAMETERS angstrom
-2.725 -0.321 0.400
0.796 -4.237 2.028
0.384 2.153 4.348
```

=====

Record 11
This record from the Alexandria database describes an optimized crystal structure of Al2ReCl. The functional is PBE. Values from VASP.

Output
- Distance to the lowest polymorph of the same formula: 0.815 eV/atom
- Total magnetic moment: 0.00 μB per formula unit
- Calculated volume: 15.69 A^3/atom
- Space group: No. 139

Quantum ESPRESSO input file:
```
&SYSTEM
  ibrav = 0, nat = 4, ntyp = 3
/
ATOMIC_SPECIES
Al 26.98 Al.upf
Cl 35.45 Cl.upf
Re 186.21 Re.upf
ATOMIC_POSITIONS crystal
Al 0.500 0.500 0.000
Al 0.000 0.000 0.000
Cl 0.250 0.750 0.500
Re 0.750 0.250 0.500
CELL_PARAMETERS angstrom
-4.132 2.493 -0.543
-1.601 -0.549 -4.552
1.394 -3.240 3.338
```

=====

Record 12
This record from the Alexandria database describes an optimized crystal structure of Al2ReCl. The functional is PBE. Values from VASP.

Output
- Distance to the lowest polymorph of the same formula: 0.724 eV/atom
- Total magnetic moment: 0.00 μB per formula unit
- Calculated volume: 16.01 A^3/atom
- Space group: No. 12

Quantum ESPRESSO input file:
```
&SYSTEM
  ibrav = 0, nat = 4, ntyp = 3
/
ATOMIC_SPECIES
Al 26.98 Al.upf
Re 186.21 Re.upf
Cl 35.45 Cl.upf
ATOMIC_POSITIONS crystal
Al 0.026 0.026 0.988
Al 0.474 0.474 0.512
Re 0.750 0.750 0.750
Cl 0.250 0.250 0.250
CELL_PARAMETERS angstrom
-1.915 -4.288 1.787
0.876 -4.667 1.643
0.408 1.273 4.531
```

=====

Record 13
This record from the Alexandria database describes an optimized crystal structure of AlReCl. The functional is PBE. Values from VASP.

Output
- Distance to the lowest polymorph of the same formula: 0.424 eV/atom
- Total magnetic moment: 0.71 μB per formula unit
- Calculated volume: 17.68 A^3/atom
- Space group: No. 107

Quantum ESPRESSO input file:
```
&SYSTEM
  ibrav = 0, nat = 3, ntyp = 3
/
ATOMIC_SPECIES
Re 186.21 Re.upf
Al 26.98 Al.upf
Cl 35.45 Cl.upf
ATOMIC_POSITIONS crystal
Re 0.656 0.656 0.000
Al 0.034 0.034 0.000
Cl 0.310 0.310 0.000
CELL_PARAMETERS angstrom
-4.793 3.646 -1.592
-6.166 0.395 0.789
5.779 -0.859 2.159
```

=====

Record 14
This record from the Alexandria database describes an optimized crystal structure of Al2ReCl. The functional is PBE. Values from VASP.

Output
- Distance to the lowest polymorph of the same formula: 0.563 eV/atom
- Total magnetic moment: 0.00 μB per formula unit
- Calculated volume: 18.53 A^3/atom
- Space group: No. 35

Quantum ESPRESSO input file:
```
&SYSTEM
  ibrav = 0, nat = 4, ntyp = 3
/
ATOMIC_SPECIES
Cl 35.45 Cl.upf
Al 26.98 Al.upf
Re 186.21 Re.upf
ATOMIC_POSITIONS crystal
Cl 0.000 0.000 0.419
Al 0.000 0.000 0.019
Al 0.500 0.500 0.241
Re 0.500 0.500 0.821
CELL_PARAMETERS angstrom
-1.962 1.713 1.182
-0.610 -0.584 -2.733
-5.122 -7.808 2.813
```

=====

Record 15
This record from the Alexandria database describes an optimized crystal structure of Al2ReCl. The functional is PBE. Values from VASP.

Output
- Distance to the lowest polymorph of the same formula: 0.350 eV/atom
- Total magnetic moment: 0.00 μB per formula unit
- Calculated volume: 16.19 A^3/atom
- Space group: No. 123

Quantum ESPRESSO input file:
```
&SYSTEM
  ibrav = 0, nat = 4, ntyp = 3
/
ATOMIC_SPECIES
Cl 35.45 Cl.upf
Re 186.21 Re.upf
Al 26.98 Al.upf
ATOMIC_POSITIONS crystal
Cl 0.500 0.000 0.500
Re 0.000 0.500 0.500
Al 0.000 0.000 0.000
Al 0.500 0.500 0.000
CELL_PARAMETERS angstrom
4.846 -0.004 -0.021
0.002 4.846 -0.021
0.013 0.013 2.757
```

=====

Record 16
This record from the Alexandria database describes an optimized crystal structure of AlRe4Cl. The functional is PBE. Values from VASP.

Output
- Total magnetic moment: 0.00 μB per formula unit
- Calculated volume: 17.06 A^3/atom
- Space group: No. 216

Quantum ESPRESSO input file:
```
&SYSTEM
  ibrav = 0, nat = 6, ntyp = 3
/
ATOMIC_SPECIES
Re 186.21 Re.upf
Cl 35.45 Cl.upf
Al 26.98 Al.upf
ATOMIC_POSITIONS crystal
Re 0.877 0.374 0.374
Re 0.374 0.374 0.374
Re 0.374 0.877 0.374
Re 0.374 0.374 0.877
Cl 0.000 0.000 0.000
Al 0.750 0.750 0.750
CELL_PARAMETERS angstrom
-1.571 0.285 5.002
1.575 3.994 3.023
-3.431 3.694 1.468
```

=====

Record 17
This record from the Alexandria database describes an optimized crystal structure of AlReCl2. The functional is PBE. Values from VASP.

Output
- Distance to the lowest polymorph of the same formula: 1.235 eV/atom
- Total magnetic moment: 0.81 μB per formula unit
- Calculated volume: 16.82 A^3/atom
- Space group: No. 119

Quantum ESPRESSO input file:
```
&SYSTEM
  ibrav = 0, nat = 4, ntyp = 3
/
ATOMIC_SPECIES
Al 26.98 Al.upf
Re 186.21 Re.upf
Cl 35.45 Cl.upf
ATOMIC_POSITIONS crystal
Al 0.750 0.250 0.500
Re 0.500 0.500 0.000
Cl 0.250 0.750 0.500
Cl 0.000 0.000 0.000
CELL_PARAMETERS angstrom
4.984 0.000 0.000
1.668 4.697 0.000
-3.326 -2.348 2.875
```

=====

Record 18
This record from the Alexandria database describes an optimized crystal structure of AlReCl. The functional is PBE. Values from VASP.

Output
- Distance to the lowest polymorph of the same formula: 1.297 eV/atom
- Total magnetic moment: 1.12 μB per formula unit
- Calculated volume: 19.52 A^3/atom
- Space group: No. 216

Quantum ESPRESSO input file:
```
&SYSTEM
  ibrav = 0, nat = 3, ntyp = 3
/
ATOMIC_SPECIES
Re 186.21 Re.upf
Cl 35.45 Cl.upf
Al 26.98 Al.upf
ATOMIC_POSITIONS crystal
Re 0.500 0.500 0.500
Cl 0.000 0.000 0.000
Al 0.750 0.750 0.750
CELL_PARAMETERS angstrom
4.358 0.000 0.000
2.179 3.775 0.000
2.179 1.258 3.559
```

=====

Record 19
This record from the Alexandria database describes an optimized crystal structure of AlReCl2. The functional is PBE. Values from VASP.

Output
- Distance to the lowest polymorph of the same formula: 1.289 eV/atom
- Total magnetic moment: 4.00 μB per formula unit
- Calculated volume: 19.02 A^3/atom
- Space group: No. 216

Quantum ESPRESSO input file:
```
&SYSTEM
  ibrav = 0, nat = 4, ntyp = 3
/
ATOMIC_SPECIES
Re 186.21 Re.upf
Cl 35.45 Cl.upf
Al 26.98 Al.upf
ATOMIC_POSITIONS crystal
Re 0.750 0.750 0.750
Cl 0.250 0.250 0.250
Cl 0.000 0.000 0.000
Al 0.500 0.500 0.500
CELL_PARAMETERS angstrom
4.757 0.000 0.000
2.378 4.119 0.000
2.378 1.373 3.884
```

=====

Record 20
This record from the Alexandria database describes an optimized crystal structure of AlReCl2. The functional is PBE. Values from VASP.

Output
- Distance to the lowest polymorph of the same formula: 1.308 eV/atom
- Total magnetic moment: 3.13 μB per formula unit
- Calculated volume: 18.87 A^3/atom
- Space group: No. 139

Quantum ESPRESSO input file:
```
&SYSTEM
  ibrav = 0, nat = 4, ntyp = 3
/
ATOMIC_SPECIES
Al 26.98 Al.upf
Re 186.21 Re.upf
Cl 35.45 Cl.upf
ATOMIC_POSITIONS crystal
Al 0.750 0.250 0.500
Re 0.250 0.750 0.500
Cl 0.500 0.500 0.000
Cl 0.000 0.000 0.000
CELL_PARAMETERS angstrom
-3.291 3.866 -1.128
-2.721 1.338 4.226
5.098 -0.613 -0.832
```

=====

Number 1: final energy -18.93 eV/cell. Number 2: final energy -35.12 eV/cell. Number 3: final energy -19.29 eV/cell. Number 4: final energy -16.01 eV/cell. Number 5: final energy -18.46 eV/cell. Number 6: final energy -21.01 eV/cell. Number 7: final energy -20.43 eV/cell. Number 8: final energy -18.10 eV/cell. Number 9: final energy -22.46 eV/cell. Number 10: final energy -19.57 eV/cell. Number 11: final energy -19.71 eV/cell. Number 12: final energy -20.07 eV/cell. Number 13: final energy -16.53 eV/cell. Number 14: final energy -20.72 eV/cell. Number 15: final energy -21.57 eV/cell. Number 16: final energy -49.31 eV/cell. Number 17: final energy -16.07 eV/cell. Number 18: final energy -13.91 eV/cell. Number 19: final energy -15.86 eV/cell. Number 20: final energy -15.78 eV/cell.